[1]
Here is CeZrSb2 after structural relaxation from Alexandria. Energies are from GGA-PBE.

raw formation energy: -0.76 eV/atom

a b c (Å): 4.2224 4.2224 22.1871
angles (deg): 90.00 90.00 120.00
Space group R3m (No. 160, hexagonal axes)
Symmetry-distinct sites (fractional):
Ce1 0.0000 0.0000 0.0000
Zr1 0.0000 0.0000 0.1735
Sb1 0.0000 0.0000 0.4265
Sb2 0.0000 0.0000 0.5814

***

[2]
Here is Ce2ZrSb after structural relaxation from Alexandria. Energies are from GGA-PBE.

raw formation energy: -0.49 eV/atom

a b c (Å): 4.4616 4.4616 4.9462
angles (deg): 90.00 90.00 90.00
Space group P4/mmm (No. 123)
Symmetry-distinct sites (fractional):
Ce1 0.0000 0.5000 0.0000
Zr1 0.0000 0.0000 0.5000
Sb1 0.5000 0.5000 0.5000

***

[3]
Here is CeZrSb2 after structural relaxation from Alexandria. Energies are from GGA-PBE.

raw formation energy: -0.62 eV/atom

a b c (Å): 4.5416 18.0928 6.0584
angles (deg): 90.00 90.00 90.00
Space group Cmcm (No. 63)
Symmetry-distinct sites (fractional):
Ce1 0.0000 0.1920 0.2500
Zr1 0.0000 0.4156 0.2500
Sb1 0.0000 0.1830 0.7500
Sb2 0.0000 0.4267 0.7500

***

[4]
Here is CeZrSb2 after structural relaxation from Alexandria. Energies are from GGA-PBE.

raw formation energy: -0.65 eV/atom

a b c (Å): 3.6656 3.6656 7.5900
angles (deg): 90.00 90.00 90.00
Space group P4/mmm (No. 123)
Symmetry-distinct sites (fractional):
Ce1 0.0000 0.0000 0.0000
Zr1 0.0000 0.0000 0.5000
Sb1 0.5000 0.5000 0.2745

***

[5]
Here is CeZr12Sb6 after structural relaxation from Alexandria. Energies are from GGA-PBE.

raw formation energy: -0.12 eV/atom

a b c (Å): 12.3602 12.3602 10.8038
angles (deg): 90.00 90.00 120.00
Space group R-3 (No. 148, hexagonal axes)
Symmetry-distinct sites (fractional):
Ce1 0.0000 0.0000 0.0000
Zr1 0.0305 0.1754 0.3720
Zr2 0.0698 0.1964 0.8695
Sb1 0.0412 0.2910 0.6289

***

[6]
Here is Ce5ZrSb4 after structural relaxation from Alexandria. Energies are from GGA-PBE.

raw formation energy: -0.53 eV/atom

a b c (Å): 18.6988 4.2447 8.5287
angles (deg): 90.00 103.36 90.00
Space group C2/m (No. 12)
Symmetry-distinct sites (fractional):
Ce1 0.0000 0.0000 0.0000
Ce2 0.1672 0.5000 0.3136
Ce3 0.1751 0.5000 0.8570
Zr1 0.0000 0.0000 0.5000
Sb1 0.0042 0.5000 0.7388
Sb2 0.1620 0.0000 0.5798

***

[7]
Here is Ce2ZrSb4 after structural relaxation from Alexandria. Energies are from GGA-PBE.

raw formation energy: -0.65 eV/atom

a b c (Å): 4.3315 4.3315 11.1649
angles (deg): 90.00 90.00 90.00
Space group P-4m2 (No. 115)
Symmetry-distinct sites (fractional):
Ce1 0.0000 0.5000 0.2225
Zr1 0.0000 0.0000 0.5000
Sb1 0.0000 0.0000 0.0000
Sb2 0.0000 0.5000 0.6718
Sb3 0.5000 0.5000 0.0000

***

[8]
Here is CeZr5Sb6 after structural relaxation from Alexandria. Energies are from GGA-PBE.

raw formation energy: -0.64 eV/atom

a b c (Å): 7.2366 12.6503 7.2642
angles (deg): 90.00 109.83 90.00
Space group C2/m (No. 12)
Symmetry-distinct sites (fractional):
Ce1 0.0000 0.0000 0.0000
Zr1 0.0000 0.1561 0.5000
Zr2 0.0000 0.3282 0.0000
Zr3 0.0000 0.5000 0.5000
Sb1 0.2340 0.5000 0.2453
Sb2 0.2392 0.3275 0.7378

***

M_tot, respectively: 1.4, 0.0, 3.5, 1.6, 0.0, 12.3, 3.1, 1.3 Bohr magnetons per cell.